A geometry-optimized Al2ZnHg2 structure. Source: Alexandria, functional PBE.

Cell lengths 3.9807, 3.9807, 13.7108 Å; angles 90.00, 90.00, 90.00 degrees
Space group I4/mmm (No. 139)
Inequivalent atoms, fractional coordinates:
Al: 0.0000 0.5000 0.2500 x4
Zn: 0.0000 0.0000 0.0000 x2
Hg: 0.0000 0.0000 0.3969 x4

Summary:
Energy (eV/cell): -16.18
Size of the total moment (μB per cell): 0.0
Offset from the most stable computed form (meV per atom): 96.6
N(E_F) (states/eV/cell): 3.953